1.
The following is a DFT calculation (PBE) of Ac5Co2Cu2 after structural relaxation.

```
Ac5Co2Cu2
1.0
-9.1154 3.8497 3.7094
9.1154 -3.8497 3.7094
9.1154 3.8497 -3.7094
Ac Co Cu
10 4 4
direct
0.1766 0.0695 0.2462
0.1766 0.4305 0.6071
0.1882 0.0554 0.6329
0.4221 0.7666 0.9408
0.4221 0.9813 0.1555
0.4225 0.5554 0.3671
0.8234 0.5695 0.3929
0.8234 0.9305 0.7538
0.8258 0.2666 0.8445
0.8258 0.4813 0.0592
0.3028 0.3986 0.0299
0.3028 0.7730 0.4043
0.3687 0.2730 0.9701
0.3687 0.8986 0.5957
0.6458 0.1458 0.5000
0.6458 0.6458 0.0000
0.8875 0.1556 0.2318
0.9238 0.6556 0.7682
```

energy of formation: 0.008 eV per atom



2.
The following is a DFT calculation (PBE) of CsAc2US6 after structural relaxation.

```
CsAc2US6
1.0
3.7578 2.1695 6.7434
-3.7578 2.1695 6.7434
0.0000 -4.3391 6.7434
Cs Ac U S
1 2 1 6
direct
0.0000 0.0000 0.0000
0.2240 0.2240 0.2240
0.7484 0.7484 0.7484
0.5519 0.5519 0.5519
0.1801 0.4815 0.7882
0.4247 0.9336 0.5516
0.4815 0.7882 0.1801
0.5516 0.4247 0.9336
0.7882 0.1801 0.4815
0.9336 0.5516 0.4247
```

formation energy without anion corrections: -1717 meV per atom



3.
The following is a DFT calculation (PBE) of Sr2MnP3Rh4 after structural relaxation.

```
Sr2MnP3Rh4
1.0
4.1436 0.0000 0.0000
0.0000 4.1436 0.0000
0.0000 0.0000 10.1111
Sr Mn P Rh
2 1 3 4
direct
0.0000 0.5000 0.2480
0.5000 0.0000 0.7520
0.5000 0.5000 0.0000
0.0000 0.0000 0.0000
0.0000 0.5000 0.6303
0.5000 0.0000 0.3697
0.0000 0.0000 0.5000
0.0000 0.5000 0.8644
0.5000 0.0000 0.1356
0.5000 0.5000 0.5000
```

energy of formation: -0.749 eV per atom



4.
The following is a DFT calculation (PBE) of Ni6H5 after structural relaxation.

```
Ni6H5
1.0
2.2583 -3.9072 0.0000
2.2583 3.9072 0.0000
-1.5120 0.0000 4.2580
Ni H
6 5
direct
0.0826 0.4144 0.7471
0.2489 0.2489 0.2493
0.4144 0.0826 0.7471
0.5856 0.9174 0.2529
0.7511 0.7511 0.7507
0.9174 0.5856 0.2529
0.1674 0.8326 0.0000
0.3331 0.6669 0.5000
0.5000 0.5000 0.0000
0.6669 0.3331 0.5000
0.8326 0.1674 0.0000
```

final energy: -51.94 eV per formula unit



5.
The following is a DFT calculation (PBE) of ErNpHgO6 after structural relaxation.

```
ErNpHgO6
1.0
5.1326 0.0000 0.0000
0.0000 5.1326 0.0000
0.0000 0.0000 10.2852
Er Np Hg O
2 2 2 12
direct
0.0000 0.0000 0.0000
0.5000 0.5000 0.5000
0.0000 0.0000 0.6642
0.5000 0.5000 0.1642
0.0000 0.0000 0.3306
0.5000 0.5000 0.8306
0.1787 0.1787 0.8186
0.1960 0.1960 0.5222
0.2223 0.2223 0.1553
0.2777 0.7223 0.6553
0.3040 0.6960 0.0222
0.3213 0.6787 0.3186
0.6787 0.3213 0.3186
0.6960 0.3040 0.0222
0.7223 0.2777 0.6553
0.7777 0.7777 0.1553
0.8040 0.8040 0.5222
0.8213 0.8213 0.8186
```

formation energy without anion corrections: -2301 meV per atom



6.
The following is a DFT calculation (PBE) of ZnSnSe2 after structural relaxation.

```
ZnSnSe2
1.0
1.7957 1.0368 8.8286
-1.7957 1.0368 8.8286
0.0000 -2.0735 8.8286
Zn Sn Se
1 1 2
direct
0.0000 0.0000 0.0000
0.5000 0.5000 0.5000
0.3910 0.3910 0.3910
0.6090 0.6090 0.6090
```

formation energy without anion corrections: -118 meV per atom



7.
The following is a DFT calculation (PBE) of MgMn2Co after structural relaxation.

```
MgMn2Co
1.0
-1.4929 2.1514 4.3234
1.4929 -2.1514 4.3234
1.4929 2.1514 -4.3234
Mg Mn Co
1 2 1
direct
0.0000 0.0000 0.0000
0.2742 0.7742 0.5000
0.5410 0.5410 0.0000
0.7512 0.2512 0.5000
```

offset from the most stable computed form: 114.0 meV per atom
energy of formation: 0.245 eV per atom